# ZrInBr2, relaxed, DFT GGA-PBEsol
data_ZrInBr2
_chemical_formula_sum 'Zr3 In3 Br6'
_cell_length_a 3.3784
_cell_length_b 3.3784
_cell_length_c 29.9018
_cell_angle_alpha 90.00
_cell_angle_beta 90.00
_cell_angle_gamma 120.00
_space_group_name_H-M_alt 'R -3 m'
_space_group_IT_number 166
_space_group_name_Hall '-R 3 2"'
loop_
_atom_site_label
_atom_site_fract_x
_atom_site_fract_y
_atom_site_fract_z
Zr1 0.0000 0.0000 0.0000
In1 0.0000 0.0000 0.5000
Br1 0.0000 0.0000 0.2687
# - relative energy among the computed polymorphs (meV per atom) = 0.0
# - formation energy without anion corrections (eV/atom) = -0.8267
# - D(E_F) (states/eV/f.u.) = 1.999
# - total magnetization (μB/cell) = 0.001



# Ce3Cu4Ge4, relaxed, DFT GGA-PBEsol
data_Ce3Cu4Ge4
_chemical_formula_sum 'Ce6 Cu8 Ge8'
_cell_length_a 4.2947
_cell_length_b 6.5309
_cell_length_c 13.9277
_cell_angle_alpha 90.00
_cell_angle_beta 90.00
_cell_angle_gamma 90.00
_space_group_name_H-M_alt 'I m m m'
_space_group_IT_number 71
_space_group_name_Hall '-I 2 2'
loop_
_atom_site_label
_atom_site_fract_x
_atom_site_fract_y
_atom_site_fract_z
Ce1 0.0000 0.0000 0.0000
Ce2 0.0000 0.5000 0.1318
Cu1 0.0000 0.3120 0.3331
Ge1 0.0000 0.0000 0.2163
Ge2 0.0000 0.1915 0.5000
# - energy of formation (eV per formula unit) = -6.019
# - D(E_F) (states/eV/f.u.) = 13.352
# - total magnetization (μB/cell) = 2.939



# ZrBiBr2, relaxed, DFT GGA-PBEsol
data_ZrBiBr2
_chemical_formula_sum 'Zr3 Bi3 Br6'
_cell_length_a 3.4614
_cell_length_b 3.4614
_cell_length_c 30.7082
_cell_angle_alpha 90.00
_cell_angle_beta 90.00
_cell_angle_gamma 120.00
_space_group_name_H-M_alt 'R -3 m'
_space_group_IT_number 166
_space_group_name_Hall '-R 3 2"'
loop_
_atom_site_label
_atom_site_fract_x
_atom_site_fract_y
_atom_site_fract_z
Zr1 0.0000 0.0000 0.0000
Bi1 0.0000 0.0000 0.5000
Br1 0.0000 0.0000 0.0832
# - relative energy among the computed polymorphs (meV per atom) = 178.1
# - formation energy without anion corrections (eV/atom) = -0.2383
# - D(E_F) (states/eV/f.u.) = 3.634
# - total magnetization (μB/cell) = 0.015



# KSrTl2, relaxed, DFT GGA-PBEsol
data_KSrTl2
_chemical_formula_sum 'K2 Sr2 Tl4'
_cell_length_a 13.1042
_cell_length_b 3.9969
_cell_length_c 5.7971
_cell_angle_alpha 90.00
_cell_angle_beta 115.88
_cell_angle_gamma 90.00
_space_group_name_H-M_alt 'C 1 m 1'
_space_group_IT_number 8
_space_group_name_Hall 'C -2y'
loop_
_atom_site_label
_atom_site_fract_x
_atom_site_fract_y
_atom_site_fract_z
K1 0.0000 0.0000 0.0000
Sr1 0.2013 0.0000 0.6987
Tl1 0.2596 0.5000 0.2562
Tl2 0.4569 0.0000 0.4576
# - relative energy among the computed polymorphs (meV per atom) = 20.3
# - energy of formation (eV per formula unit) = -0.826
# - D(E_F) (states/eV/f.u.) = 1.635
# - total magnetization (μB/cell) = 0.000



# BaRe2As, relaxed, DFT GGA-PBEsol
data_BaRe2As
_chemical_formula_sum 'Ba2 Re4 As2'
_cell_length_a 5.8059
_cell_length_b 11.1092
_cell_length_c 2.7928
_cell_angle_alpha 90.00
_cell_angle_beta 118.14
_cell_angle_gamma 90.00
_space_group_name_H-M_alt 'C 1 2/m 1'
_space_group_IT_number 12
_space_group_name_Hall '-C 2y'
loop_
_atom_site_label
_atom_site_fract_x
_atom_site_fract_y
_atom_site_fract_z
Ba1 0.0000 0.0000 0.0000
Re1 0.2500 0.2500 0.5000
As1 0.0000 0.5000 0.0000
# - energy of formation (eV per formula unit) = 4.921
# - D(E_F) (states/eV/f.u.) = 4.110
# - total magnetization (μB/cell) = 0.000



# AgAu, relaxed, DFT GGA-PBEsol
data_AgAu
_chemical_formula_sum 'Ag4 Au4'
_cell_length_a 10.6917
_cell_length_b 2.8418
_cell_length_c 4.9531
_cell_angle_alpha 90.00
_cell_angle_beta 117.29
_cell_angle_gamma 90.00
_space_group_name_H-M_alt 'C 1 2/m 1'
_space_group_IT_number 12
_space_group_name_Hall '-C 2y'
loop_
_atom_site_label
_atom_site_fract_x
_atom_site_fract_y
_atom_site_fract_z
Ag1 0.1243 0.0000 0.2900
Au1 0.1254 0.5000 0.7893
# - energy of formation (eV per formula unit) = -0.088
# - D(E_F) (states/eV/f.u.) = 0.607
# - total magnetization (μB/cell) = 0.000



# CsTlTe2, relaxed, DFT GGA-PBEsol
data_CsTlTe2
_chemical_formula_sum 'Cs4 Tl4 Te8'
_cell_length_a 8.6665
_cell_length_b 8.6665
_cell_length_c 9.2040
_cell_angle_alpha 90.00
_cell_angle_beta 90.00
_cell_angle_gamma 90.00
_space_group_name_H-M_alt 'I -4 2 d'
_space_group_IT_number 122
_space_group_name_Hall 'I -4 2bw'
loop_
_atom_site_label
_atom_site_fract_x
_atom_site_fract_y
_atom_site_fract_z
Cs1 0.0000 0.0000 0.0000
Tl1 0.0000 0.0000 0.5000
Te1 0.1667 0.2500 0.6250
# - formation energy without anion corrections (eV/atom) = -0.4733
# - total magnetization (μB/cell) = 0.000



# MgOs2Ru, relaxed, DFT GGA-PBEsol
data_MgOs2Ru
_chemical_formula_sum 'Mg2 Os4 Ru2'
_cell_length_a 2.9344
_cell_length_b 4.4253
_cell_length_c 8.6860
_cell_angle_alpha 90.00
_cell_angle_beta 90.00
_cell_angle_gamma 90.00
_space_group_name_H-M_alt 'I m m 2'
_space_group_IT_number 44
_space_group_name_Hall 'I 2 -2'
loop_
_atom_site_label
_atom_site_fract_x
_atom_site_fract_y
_atom_site_fract_z
Mg1 0.0000 0.0000 0.0000
Os1 0.0000 0.0000 0.5008
Os2 0.0000 0.5000 0.7517
Ru1 0.0000 0.5000 0.2537
# - energy of formation (eV per formula unit) = 1.461
# - D(E_F) (states/eV/f.u.) = 3.566
# - total magnetization (μB/cell) = 0.000



# PPtSe2, relaxed, DFT GGA-PBEsol
data_PPtSe2
_chemical_formula_sum 'P2 Pt2 Se4'
_cell_length_a 5.1749
_cell_length_b 5.1749
_cell_length_c 5.1535
_cell_angle_alpha 90.00
_cell_angle_beta 90.00
_cell_angle_gamma 90.00
_space_group_name_H-M_alt 'I 4/m m m'
_space_group_IT_number 139
_space_group_name_Hall '-I 4 2'
loop_
_atom_site_label
_atom_site_fract_x
_atom_site_fract_y
_atom_site_fract_z
P1 0.0000 0.0000 0.0000
Pt1 0.0000 0.0000 0.5000
Se1 0.0000 0.5000 0.0000
# - formation energy without anion corrections (eV/atom) = -0.0533
# - D(E_F) (states/eV/f.u.) = 2.113
# - total magnetization (μB/cell) = 0.000



# Tl3Cd2, relaxed, DFT GGA-PBEsol
data_Tl3Cd2
_chemical_formula_sum 'Tl9 Cd6'
_cell_length_a 3.2818
_cell_length_b 3.2818
_cell_length_c 40.8955
_cell_angle_alpha 90.00
_cell_angle_beta 90.00
_cell_angle_gamma 120.00
_space_group_name_H-M_alt 'R -3 m'
_space_group_IT_number 166
_space_group_name_Hall '-R 3 2"'
loop_
_atom_site_label
_atom_site_fract_x
_atom_site_fract_y
_atom_site_fract_z
Tl1 0.0000 0.0000 0.0000
Tl2 0.0000 0.0000 0.2032
Cd1 0.0000 0.0000 0.3984
# - relative energy among the computed polymorphs (meV per atom) = 0.0
# - energy of formation (eV per formula unit) = 0.309
# - D(E_F) (states/eV/f.u.) = 2.308
# - total magnetization (μB/cell) = 0.000



# KTcOs2, relaxed, DFT GGA-PBEsol
data_KTcOs2
_chemical_formula_sum 'K2 Tc2 Os4'
_cell_length_a 2.6505
_cell_length_b 5.0866
_cell_length_c 10.3389
_cell_angle_alpha 90.00
_cell_angle_beta 90.00
_cell_angle_gamma 90.00
_space_group_name_H-M_alt 'I m m 2'
_space_group_IT_number 44
_space_group_name_Hall 'I 2 -2'
loop_
_atom_site_label
_atom_site_fract_x
_atom_site_fract_y
_atom_site_fract_z
K1 0.0000 0.0000 0.0000
Tc1 0.0000 0.5000 0.2126
Os1 0.0000 0.0000 0.5016
Os2 0.0000 0.5000 0.7888
# - relative energy among the computed polymorphs (meV per atom) = 0.0
# - energy of formation (eV per formula unit) = 4.980
# - D(E_F) (states/eV/f.u.) = 3.434
# - total magnetization (μB/cell) = 0.000



# MgRePb2, relaxed, DFT GGA-PBEsol
data_MgRePb2
_chemical_formula_sum 'Mg1 Re1 Pb2'
_cell_length_a 3.0706
_cell_length_b 4.9180
_cell_length_c 5.7210
_cell_angle_alpha 90.00
_cell_angle_beta 92.69
_cell_angle_gamma 90.00
_space_group_name_H-M_alt 'P 1 2/m 1'
_space_group_IT_number 10
_space_group_name_Hall '-P 2y'
loop_
_atom_site_label
_atom_site_fract_x
_atom_site_fract_y
_atom_site_fract_z
Mg1 0.0000 0.0000 0.0000
Re1 0.5000 0.0000 0.5000
Pb1 0.3081 0.5000 0.7438
# - energy of formation (eV per formula unit) = 3.098
# - D(E_F) (states/eV/f.u.) = 3.313
# - total magnetization (μB/cell) = 0.001



Q: What is the formula in the eighth record?
A: MgOs2Ru



Please write out number 12 again, unchanged.
# MgRePb2, relaxed, DFT GGA-PBEsol
data_MgRePb2
_chemical_formula_sum 'Mg1 Re1 Pb2'
_cell_length_a 3.0706
_cell_length_b 4.9180
_cell_length_c 5.7210
_cell_angle_alpha 90.00
_cell_angle_beta 92.69
_cell_angle_gamma 90.00
_space_group_name_H-M_alt 'P 1 2/m 1'
_space_group_IT_number 10
_space_group_name_Hall '-P 2y'
loop_
_atom_site_label
_atom_site_fract_x
_atom_site_fract_y
_atom_site_fract_z
Mg1 0.0000 0.0000 0.0000
Re1 0.5000 0.0000 0.5000
Pb1 0.3081 0.5000 0.7438
# - energy of formation (eV per formula unit) = 3.098
# - D(E_F) (states/eV/f.u.) = 3.313
# - total magnetization (μB/cell) = 0.001



Q: What is the formula in the twelfth record?
A: MgRePb2



Q: Among the records above, which one has the highest total magnetization?
A: Ce3Cu4Ge4